Material: MnTcC2I
Method: DFT, SCAN
State: single point on PBEsol structure

Calculated values
formation energy (no corrections) = 597 kJ/mol of formula units

The structure in CIF format:
```
data_MnTcC2I
_chemical_formula_sum 'Mn1 Tc1 C2 I1'
_cell_length_a 3.9343
_cell_length_b 3.9343
_cell_length_c 5.3882
_cell_angle_alpha 90.00
_cell_angle_beta 90.00
_cell_angle_gamma 90.00
_space_group_name_H-M_alt 'P 1'
_space_group_IT_number 1
loop_
_space_group_symop_operation_xyz
'x,y,z'
loop_
_atom_site_label
_atom_site_type_symbol
_atom_site_fract_x
_atom_site_fract_y
_atom_site_fract_z
_atom_site_occupancy
C1 C 0.5000 0.0000 0.0000 1
C2 C 0.0000 0.5000 0.0000 1
I1 I 0.5000 0.5000 0.5000 1
Mn1 Mn 0.0000 0.0000 0.5000 1
Tc1 Tc 0.0000 0.0000 0.0000 1
```